Record 1
Compound: Sn2BrN
Source: the Alexandria database
Functional: GGA-PBE
Structure: relaxed

Cell lengths 7.304, 7.304, 6.329 Å; angles 54.75, 54.75, 90.00 degrees
Element x y z (fractional)
Sn 0.231 0.625 0.250
Sn 0.875 0.769 0.750
Sn 0.375 0.481 0.750
Sn 0.519 0.125 0.250
N 0.250 0.750 0.500
N 0.500 0.500 0.000
Br 0.750 0.250 0.500
Br 0.000 0.000 0.000

Output
- SG: No. 122
- Formation energy from raw total energies: 143.1 meV/atom
- Excess energy over the best structure of this formula in the dataset: 0 meV/atom

***

Record 2
Compound: Sn2BrN
Source: the Alexandria database
Functional: GGA-PBE
Structure: relaxed

Cell lengths 4.968, 4.968, 4.968 Å; angles 60.00, 60.00, 60.00 degrees
Element x y z (fractional)
Br 0.500 0.500 0.500
N 0.000 0.000 0.000
Sn 0.750 0.750 0.750
Sn 0.250 0.250 0.250

Output
- SG: No. 225
- Formation energy from raw total energies: 851.7 meV/atom
- Excess energy over the best structure of this formula in the dataset: 709 meV/atom

***

Record 3
Compound: SnBr6N2
Source: the Alexandria database
Functional: GGA-PBE
Structure: relaxed

Cell lengths 7.463, 7.463, 7.463 Å; angles 60.00, 60.00, 60.00 degrees
Element x y z (fractional)
Sn 0.000 0.000 0.000
N 0.750 0.750 0.750
N 0.250 0.250 0.250
Br 0.249 0.751 0.249
Br 0.249 0.751 0.751
Br 0.249 0.249 0.751
Br 0.751 0.249 0.751
Br 0.751 0.751 0.249
Br 0.751 0.249 0.249

Output
- SG: No. 225
- Formation energy from raw total energies: 992.5 meV/atom

***

Record 4
Compound: Sr2SnBrN
Source: the Alexandria database
Functional: GGA-PBE
Structure: relaxed

Cell lengths 5.978, 4.244, 5.978 Å; angles 90.00, 90.00, 90.00 degrees
Element x y z (fractional)
Sr 0.500 0.000 0.000
Sr 0.000 0.000 0.500
Br 0.000 0.000 0.000
Sn 0.500 0.500 0.500
N 0.000 0.500 0.000

Output
- SG: No. 123
- Formation energy from raw total energies: 145.9 meV/atom

***

Record 5
Compound: SrBrN2
Source: the Alexandria database
Functional: GGA-PBE
Structure: relaxed

Cell lengths 10.455, 4.389, 5.294 Å; angles 65.48, 79.97, 65.20 degrees
Element x y z (fractional)
N 0.250 0.120 0.030
N 0.750 0.880 0.970
N 0.750 0.150 0.970
N 0.250 0.850 0.030
Br 0.500 0.000 0.500
Br 0.000 0.500 0.500
Sr 0.250 0.710 0.581
Sr 0.750 0.290 0.419

Output
- SG: No. 63
- Formation energy from raw total energies: -825.4 meV/atom
- Excess energy over the best structure of this formula in the dataset: 55 meV/atom

***

Record 6
Compound: Sr3BrN
Source: the Alexandria database
Functional: GGA-PBE
Structure: relaxed

Cell lengths 5.343, 5.343, 5.343 Å; angles 90.00, 90.00, 90.00 degrees
Element x y z (fractional)
Sr 0.000 0.000 0.500
Sr 0.000 0.500 0.000
Sr 0.500 0.000 0.000
N 0.000 0.000 0.000
Br 0.500 0.500 0.500

Output
- SG: No. 221
- Formation energy from raw total energies: -665.1 meV/atom
- Excess energy over the best structure of this formula in the dataset: 265 meV/atom

***

Record 7
Compound: SrBrN2
Source: the Alexandria database
Functional: GGA-PBE
Structure: relaxed

Cell lengths 5.123, 5.123, 6.972 Å; angles 68.45, 68.45, 90.00 degrees
Element x y z (fractional)
N 0.875 0.803 0.750
N 0.197 0.625 0.250
N 0.375 0.447 0.750
N 0.553 0.125 0.250
Br 0.500 0.500 0.000
Br 0.250 0.750 0.500
Sr 0.750 0.250 0.500
Sr 0.000 0.000 0.000

Output
- SG: No. 122
- Formation energy from raw total energies: 1015.8 meV/atom
- Excess energy over the best structure of this formula in the dataset: 1896 meV/atom

***

Record 8
Compound: SrBr3N2
Source: the Alexandria database
Functional: GGA-PBE
Structure: relaxed

Cell lengths 8.063, 6.339, 8.717 Å; angles 101.32, 117.55, 90.00 degrees
Element x y z (fractional)
Sr 0.281 0.250 0.000
Sr 0.719 0.750 0.000
Br 0.339 0.750 0.000
Br 0.816 0.898 0.628
Br 0.184 0.102 0.372
Br 0.661 0.250 0.000
Br 0.188 0.602 0.372
Br 0.812 0.398 0.628
N 0.971 0.173 0.722
N 0.029 0.827 0.278
N 0.751 0.673 0.722
N 0.249 0.327 0.278

Output
- SG: No. 15
- Formation energy from raw total energies: 217.2 meV/atom

***

Record 9
Compound: SrBrN2
Source: the Alexandria database
Functional: GGA-PBE
Structure: relaxed

Cell lengths 6.615, 6.615, 6.615 Å; angles 36.52, 36.52, 36.52 degrees
Element x y z (fractional)
N 0.105 0.105 0.105
N 0.895 0.895 0.895
Br 0.000 0.000 0.000
Sr 0.500 0.500 0.500

Output
- SG: No. 166
- Formation energy from raw total energies: 712.2 meV/atom
- Excess energy over the best structure of this formula in the dataset: 1592 meV/atom

***

Record 10
Compound: Sr3Br2N
Source: the Alexandria database
Functional: GGA-PBE
Structure: relaxed

Cell lengths 7.273, 7.620, 7.831 Å; angles 119.11, 90.00, 90.00 degrees
Element x y z (fractional)
Br 0.701 0.993 0.656
Br 0.201 0.663 0.656
Br 0.701 0.337 0.344
Br 0.201 0.007 0.344
N 0.810 0.577 0.000
N 0.310 0.423 0.000
Sr 0.876 0.887 0.000
Sr 0.536 0.439 0.764
Sr 0.036 0.561 0.236
Sr 0.036 0.325 0.764
Sr 0.376 0.113 0.000
Sr 0.536 0.675 0.236

Output
- SG: No. 36
- Formation energy from raw total energies: -1283.4 meV/atom
- Excess energy over the best structure of this formula in the dataset: 0 meV/atom

***

Record 11
Compound: SrBrN2
Source: the Alexandria database
Functional: GGA-PBE
Structure: relaxed

Cell lengths 7.344, 7.344, 7.344 Å; angles 27.53, 27.53, 27.53 degrees
Element x y z (fractional)
N 0.884 0.884 0.884
N 0.116 0.116 0.116
Sr 0.000 0.000 0.000
Br 0.500 0.500 0.500

Output
- SG: No. 166
- Formation energy from raw total energies: 1727.0 meV/atom
- Excess energy over the best structure of this formula in the dataset: 2607 meV/atom

***

Record 12
Compound: Sr8Br3N4
Source: the Alexandria database
Functional: GGA-PBE
Structure: relaxed

Cell lengths 8.094, 8.244, 8.244 Å; angles 90.46, 118.89, 118.89 degrees
Element x y z (fractional)
Sr 0.030 0.773 0.773
Sr 0.000 0.228 0.772
Sr 0.500 0.225 0.775
Sr 0.000 0.772 0.228
Sr 0.569 0.814 0.814
Sr 0.500 0.775 0.225
Sr 0.970 0.227 0.227
Sr 0.431 0.186 0.186
N 0.000 0.500 0.000
N 0.000 0.000 0.000
N 0.500 0.000 0.000
N 0.000 0.000 0.500
Br 0.500 0.500 0.000
Br 0.500 0.000 0.500
Br 0.500 0.500 0.500

Output
- SG: No. 12
- Formation energy from raw total energies: -855.3 meV/atom